Crystalline Tb4Dy at its relaxed geometry. Source: Alexandria, functional GGA-PBE.

Output
calculated density	8.40	Mg/m³
electronic total energy	-46.10	eV/cell
M_tot	0.00	μB/f.u.
formation enthalpy at 0 K	0.015	eV per atom
Fermi-level density of states	13.099	states/eV/cell

a b c (Å): 6.147 3.550 14.599
angles (deg): 90.00 97.98 90.00
Space group C2/m (No. 12)
Inequivalent atoms, fractional coordinates:
Tb 0.100 0.000 0.301 (multiplicity 4)
Tb 0.200 0.500 0.100 (multiplicity 4)
Dy 0.000 0.500 0.500 (multiplicity 2)